Compound: Nd4IrPtI2
Source: Alexandria via LeMat-Bulk
Functional: PBE-GGA
Structure: relaxed

It has space group P2/m (No. 10), with a = 7.3667 Å, b = 4.2513 Å, c = 8.4777 Å, α = 90.00°, β = 106.92° and γ = 90.00°. The asymmetric unit holds Nd at (0.2229, 0.0000, 0.1845), Nd at (0.2644, 0.5000, 0.8152), Ir at (0.0000, 0.5000, 0.0000), Pt at (0.5000, 0.0000, 0.0000), I at (0.0000, 0.0000, 0.5000) and I at (0.5000, 0.5000, 0.5000).

The value obtained for the formation energy from raw total energies is -1.051 eV per atom. Its total magnetization is 0.000 μB/atom. The calculation puts the final energy at -5.6849 eV/atom. Its crystal system is monoclinic.

---

Compound: Nd8Ir3PtI4
Source: Alexandria via LeMat-Bulk
Functional: PBE-GGA
Structure: relaxed

It has space group R-3m (No. 166, hexagonal axes), with a = 8.4763 Å, b = 8.4763 Å, c = 24.3026 Å, α = 90.00°, β = 90.00° and γ = 120.00°. The asymmetric unit holds Nd at (0.0000, 0.0000, 0.2282), Nd at (0.0064, 0.5032, 0.7719), Ir at (0.0000, 0.5000, 0.5000), Pt at (0.0000, 0.0000, 0.5000), I at (0.0000, 0.0000, 0.0000) and I at (0.0000, 0.5000, 0.0000).

The value obtained for the formation energy from raw total energies is -1.011 eV per atom. Its total magnetization is 0.000 μB/atom. The calculation puts the final energy at -5.8211 eV/atom. Its crystal system is trigonal.

---

Compound: NdPuIrI
Source: Alexandria via LeMat-Bulk
Functional: PBE-GGA
Structure: relaxed

It has space group R3m (No. 160, hexagonal axes), with a = 4.1230 Å, b = 4.1230 Å, c = 24.3696 Å, α = 90.00°, β = 90.00° and γ = 120.00°. The asymmetric unit holds Nd at (0.0000, 0.0000, 0.0000), Pu at (0.0000, 0.0000, 0.2093), Ir at (0.0000, 0.0000, 0.5997) and I at (0.0000, 0.0000, 0.7704).

The value obtained for the formation energy from raw total energies is -0.753 eV per atom. Its total magnetization is 1.289 μB/atom. The calculation puts the final energy at -8.1309 eV/atom. Its crystal system is trigonal.

---

Compound: Nd8IrRh3I4
Source: Alexandria via LeMat-Bulk
Functional: PBE-GGA
Structure: relaxed

It has space group C2/m (No. 12), with a = 14.5206 Å, b = 8.3832 Å, c = 9.4844 Å, α = 90.00°, β = 120.75° and γ = 90.00°. The asymmetric unit holds Nd at (0.0213, 0.2491, 0.3153), Nd at (0.2278, 0.0000, 0.6847), Nd at (0.2283, 0.5000, 0.6846), Ir at (0.0000, 0.0000, 0.5000), Rh at (0.0000, 0.5000, 0.5000), Rh at (0.2500, 0.2500, 0.5000), I at (0.0000, 0.0000, 0.0000), I at (0.0000, 0.5000, 0.0000) and I at (0.2500, 0.2500, 0.0000).

The value obtained for the formation energy from raw total energies is -0.948 eV per atom. Its total magnetization is 0.000 μB/atom. The calculation puts the final energy at -5.6514 eV/atom. Its crystal system is monoclinic.

---

Compound: Nd6IrRu2I3
Source: Alexandria via LeMat-Bulk
Functional: PBE-GGA
Structure: relaxed

It has space group C2/m (No. 12), with a = 7.2277 Å, b = 12.5161 Å, c = 8.5103 Å, α = 90.00°, β = 106.46° and γ = 90.00°. The asymmetric unit holds Nd at (0.2246, 0.0000, 0.1853), Nd at (0.2304, 0.3314, 0.1853), Ir at (0.0000, 0.5000, 0.0000), Ru at (0.0000, 0.1665, 0.0000), I at (0.0000, 0.0000, 0.5000) and I at (0.0000, 0.3326, 0.5000).

The value obtained for the formation energy from raw total energies is -0.732 eV per atom. Its total magnetization is 0.000 μB/atom. The calculation puts the final energy at -5.7883 eV/atom. Its crystal system is monoclinic.

---

Compound: Nd8Ir3RuI4
Source: Alexandria via LeMat-Bulk
Functional: PBE-GGA
Structure: relaxed

It has space group C2/m (No. 12), with a = 14.5401 Å, b = 8.3960 Å, c = 9.4674 Å, α = 90.00°, β = 120.74° and γ = 90.00°. The asymmetric unit holds Nd at (0.0208, 0.2470, 0.3151), Nd at (0.2264, 0.0000, 0.6850), Nd at (0.2275, 0.5000, 0.6830), Ir at (0.0000, 0.5000, 0.5000), Ir at (0.2500, 0.2500, 0.5000), Ru at (0.0000, 0.0000, 0.5000), I at (0.0000, 0.0000, 0.0000), I at (0.0000, 0.5000, 0.0000) and I at (0.2500, 0.2500, 0.0000).

The value obtained for the formation energy from raw total energies is -0.879 eV per atom. Its total magnetization is 0.000 μB/atom. The calculation puts the final energy at -5.8916 eV/atom. Its crystal system is monoclinic.

---

Compound: Nd8Ir3SI4
Source: Alexandria via LeMat-Bulk
Functional: PBE-GGA
Structure: relaxed

It has space group R-3m (No. 166, hexagonal axes), with a = 8.5057 Å, b = 8.5057 Å, c = 24.0678 Å, α = 90.00°, β = 90.00° and γ = 120.00°. The asymmetric unit holds Nd at (0.0000, 0.0000, 0.2281), Nd at (0.0133, 0.5067, 0.7715), Ir at (0.0000, 0.5000, 0.5000), S at (0.0000, 0.0000, 0.5000), I at (0.0000, 0.0000, 0.0000) and I at (0.0000, 0.5000, 0.0000).

The value obtained for the formation energy from raw total energies is -1.070 eV per atom. Its total magnetization is 0.000 μB/atom. The calculation puts the final energy at -5.7610 eV/atom. Its crystal system is trigonal.

---

Compound: Nd6Ir2SI3
Source: Alexandria via LeMat-Bulk
Functional: PBE-GGA
Structure: relaxed

It has space group C2/m (No. 12), with a = 7.3832 Å, b = 12.7647 Å, c = 8.3559 Å, α = 90.00°, β = 107.04° and γ = 90.00°. The asymmetric unit holds Nd at (0.2138, 0.0000, 0.1861), Nd at (0.2363, 0.3260, 0.1862), Ir at (0.0000, 0.1668, 0.0000), S at (0.0000, 0.5000, 0.0000), I at (0.0000, 0.0000, 0.5000) and I at (0.0000, 0.3354, 0.5000).

The value obtained for the formation energy from raw total energies is -1.130 eV per atom. Its total magnetization is 0.000 μB/atom. The calculation puts the final energy at -5.7226 eV/atom. Its crystal system is monoclinic.

---

Compound: Nd6Ir2S3I
Source: Alexandria via LeMat-Bulk
Functional: PBE-GGA
Structure: relaxed

It has space group C2/m (No. 12), with a = 18.3979 Å, b = 4.0838 Å, c = 8.7402 Å, α = 90.00°, β = 104.49° and γ = 90.00°. The asymmetric unit holds Nd at (0.0094, 0.0000, 0.2891), Nd at (0.1703, 0.5000, 0.5817), Nd at (0.1818, 0.5000, 0.1141), Ir at (0.1691, 0.0000, 0.3378), S at (0.0000, 0.5000, 0.5000), S at (0.1571, 0.0000, 0.8413) and I at (0.0000, 0.5000, 0.0000).

The value obtained for the formation energy from raw total energies is -1.331 eV per atom. Its total magnetization is 0.000 μB/atom. The calculation puts the final energy at -6.3527 eV/atom. Its crystal system is monoclinic.

---

Compound: Nd4IrSe2I
Source: Alexandria via LeMat-Bulk
Functional: PBE-GGA
Structure: relaxed

It has space group P2/m (No. 10), with a = 7.5026 Å, b = 4.1808 Å, c = 7.6963 Å, α = 90.00°, β = 108.03° and γ = 90.00°. The asymmetric unit holds Nd at (0.2282, 0.0000, 0.2124), Nd at (0.2685, 0.5000, 0.7824), Ir at (0.0000, 0.5000, 0.0000), Se at (0.5000, 0.0000, 0.0000), Se at (0.5000, 0.5000, 0.5000) and I at (0.0000, 0.0000, 0.5000).

The value obtained for the formation energy from raw total energies is -1.276 eV per atom. Its total magnetization is 0.000 μB/atom. The calculation puts the final energy at -5.8329 eV/atom. Its crystal system is monoclinic.

---

Compound: Nd4IrSeI2
Source: Alexandria via LeMat-Bulk
Functional: PBE-GGA
Structure: relaxed

It has space group P2/m (No. 10), with a = 7.7217 Å, b = 4.1927 Å, c = 8.2183 Å, α = 90.00°, β = 107.05° and γ = 90.00°. The asymmetric unit holds Nd at (0.2043, 0.0000, 0.1887), Nd at (0.2555, 0.5000, 0.8064), Ir at (0.0000, 0.5000, 0.0000), Se at (0.5000, 0.0000, 0.0000), I at (0.0000, 0.0000, 0.5000) and I at (0.5000, 0.5000, 0.5000).

The value obtained for the formation energy from raw total energies is -1.155 eV per atom. Its total magnetization is 0.000 μB/atom. The calculation puts the final energy at -5.4700 eV/atom. Its crystal system is monoclinic.

---

Compound: Nd6SiIr2I3
Source: Alexandria via LeMat-Bulk
Functional: PBE-GGA
Structure: relaxed

It has space group C2/m (No. 12), with a = 7.4004 Å, b = 12.8176 Å, c = 8.3861 Å, α = 90.00°, β = 107.13° and γ = 90.00°. The asymmetric unit holds Nd at (0.2169, 0.0000, 0.1879), Nd at (0.2347, 0.3273, 0.1888), Si at (0.0000, 0.5000, 0.0000), Ir at (0.0000, 0.1670, 0.0000), I at (0.0000, 0.0000, 0.5000) and I at (0.0000, 0.3375, 0.5000).

The value obtained for the formation energy from raw total energies is -0.912 eV per atom. Its total magnetization is 0.000 μB/atom. The calculation puts the final energy at -5.6125 eV/atom. Its crystal system is monoclinic.

---

Compound: Nd8Si3IrI4
Source: Alexandria via LeMat-Bulk
Functional: PBE-GGA
Structure: relaxed

It has space group R-3m (No. 166, hexagonal axes), with a = 8.6659 Å, b = 8.6659 Å, c = 23.2325 Å, α = 90.00°, β = 90.00° and γ = 120.00°. The asymmetric unit holds Nd at (0.0000, 0.0000, 0.2330), Nd at (0.0091, 0.5046, 0.2308), Si at (0.0000, 0.5000, 0.5000), Ir at (0.0000, 0.0000, 0.5000), I at (0.0000, 0.0000, 0.0000) and I at (0.0000, 0.5000, 0.0000).

The value obtained for the formation energy from raw total energies is -0.914 eV per atom. Its total magnetization is 0.000 μB/atom. The calculation puts the final energy at -5.2564 eV/atom. Its crystal system is trigonal.

---

Compound: Nd4SiIrI2
Source: Alexandria via LeMat-Bulk
Functional: PBE-GGA
Structure: relaxed

It has space group P2/m (No. 10), with a = 7.6484 Å, b = 4.2233 Å, c = 8.2196 Å, α = 90.00°, β = 106.60° and γ = 90.00°. The asymmetric unit holds Nd at (0.2201, 0.0000, 0.1866), Nd at (0.2569, 0.5000, 0.8112), Si at (0.5000, 0.0000, 0.0000), Ir at (0.0000, 0.5000, 0.0000), I at (0.0000, 0.0000, 0.5000) and I at (0.5000, 0.5000, 0.5000).

The value obtained for the formation energy from raw total energies is -0.905 eV per atom. Its total magnetization is 0.000 μB/atom. The calculation puts the final energy at -5.4618 eV/atom. Its crystal system is monoclinic.

---

Compound: Nd8TeIr3I4
Source: Alexandria via LeMat-Bulk
Functional: PBE-GGA
Structure: relaxed

It has space group R-3m (No. 166, hexagonal axes), with a = 8.6943 Å, b = 8.6943 Å, c = 24.0376 Å, α = 90.00°, β = 90.00° and γ = 120.00°. The asymmetric unit holds Nd at (0.0000, 0.0000, 0.2279), Nd at (0.0303, 0.5151, 0.7700), Te at (0.0000, 0.0000, 0.5000), Ir at (0.0000, 0.5000, 0.5000), I at (0.0000, 0.0000, 0.0000) and I at (0.0000, 0.5000, 0.0000).

The value obtained for the formation energy from raw total energies is -0.984 eV per atom. Its total magnetization is 0.000 μB/atom. The calculation puts the final energy at -5.6130 eV/atom. Its crystal system is trigonal.

---

Compound: Nd8TlIr3I4
Source: Alexandria via LeMat-Bulk
Functional: PBE-GGA
Structure: relaxed

It has space group R-3m (No. 166, hexagonal axes), with a = 8.6137 Å, b = 8.6137 Å, c = 24.2844 Å, α = 90.00°, β = 90.00° and γ = 120.00°. The asymmetric unit holds Nd at (0.0000, 0.0000, 0.2292), Nd at (0.0254, 0.5127, 0.7700), Tl at (0.0000, 0.0000, 0.5000), Ir at (0.0000, 0.5000, 0.5000), I at (0.0000, 0.0000, 0.0000) and I at (0.0000, 0.5000, 0.0000).

The value obtained for the formation energy from raw total energies is -0.848 eV per atom. Its total magnetization is 0.000 μB/atom. The calculation puts the final energy at -5.4283 eV/atom. Its crystal system is trigonal.

---

Compound: NdTmIrI
Source: Alexandria via LeMat-Bulk
Functional: PBE-GGA
Structure: relaxed

It has space group R3m (No. 160, hexagonal axes), with a = 4.1501 Å, b = 4.1501 Å, c = 23.9601 Å, α = 90.00°, β = 90.00° and γ = 120.00°. The asymmetric unit holds Nd at (0.0000, 0.0000, 0.0000), Tm at (0.0000, 0.0000, 0.2135), Ir at (0.0000, 0.0000, 0.6028) and I at (0.0000, 0.0000, 0.7762).

The value obtained for the formation energy from raw total energies is -0.948 eV per atom. Its total magnetization is 0.000 μB/atom. The calculation puts the final energy at -5.8603 eV/atom. Its crystal system is trigonal.

---

Compound: NdYIrI
Source: Alexandria via LeMat-Bulk
Functional: PBE-GGA
Structure: relaxed

It has space group R3m (No. 160, hexagonal axes), with a = 4.1753 Å, b = 4.1753 Å, c = 24.0584 Å, α = 90.00°, β = 90.00° and γ = 120.00°. The asymmetric unit holds Nd at (0.0000, 0.0000, 0.0000), Y at (0.0000, 0.0000, 0.7874), Ir at (0.0000, 0.0000, 0.3958) and I at (0.0000, 0.0000, 0.2229).

The value obtained for the formation energy from raw total energies is -0.939 eV per atom. Its total magnetization is 0.000 μB/atom. The calculation puts the final energy at -6.3497 eV/atom. Its crystal system is trigonal.

---

Compound: Nd8ZnIr3I4
Source: Alexandria via LeMat-Bulk
Functional: PBE-GGA
Structure: relaxed

It has space group R-3m (No. 166, hexagonal axes), with a = 8.5071 Å, b = 8.5071 Å, c = 24.3228 Å, α = 90.00°, β = 90.00° and γ = 120.00°. The asymmetric unit holds Nd at (0.0000, 0.0000, 0.2290), Nd at (0.0148, 0.5074, 0.7712), Zn at (0.0000, 0.0000, 0.5000), Ir at (0.0000, 0.5000, 0.5000), I at (0.0000, 0.0000, 0.0000) and I at (0.0000, 0.5000, 0.0000).

The value obtained for the formation energy from raw total energies is -0.857 eV per atom. Its total magnetization is 0.000 μB/atom. The calculation puts the final energy at -5.3697 eV/atom. Its crystal system is trigonal.

---

Compound: NiIr3I
Source: Alexandria via LeMat-Bulk
Functional: PBE-GGA
Structure: relaxed

It has space group Pm-3m (No. 221), with a = 4.5760 Å, b = 4.5760 Å, c = 4.5760 Å, α = 90.00°, β = 90.00° and γ = 90.00°. The asymmetric unit holds Ni at (0.0000, 0.0000, 0.0000), Ir at (0.0000, 0.0000, 0.5000) and I at (0.5000, 0.5000, 0.5000).

The value obtained for the formation energy from raw total energies is 1.660 eV per atom. Its total magnetization is 0.746 μB/atom. The calculation puts the final energy at -5.1227 eV/atom. Its crystal system is cubic.